DFT (PBE) results for an optimized crystal structure of SiBPt2.

Structure (POSCAR):
```
SiBPt2
1.0
0.000 2.955 2.955
2.955 0.000 2.955
2.955 2.955 0.000
Si B Pt
1 1 2
Cartesian
0.000 0.000 0.000
2.955 2.955 2.955
1.478 1.478 1.478
4.433 4.433 4.433
```

Output
* density of states at the Fermi level: 0.4351 states/eV/atom
* DFT total energy: -5.810 eV/atom
* calculated volume: 12.903 Å³ per atom
* raw formation energy: 0.235 eV/atom
* energy above the lowest structure with this stoichiometry: 0.494 eV/atom



DFT (PBE) results for an optimized crystal structure of KRu2Se.

Structure (POSCAR):
```
KRu2Se
1.0
4.495 -1.602 0.000
4.495 1.602 0.000
-2.123 0.000 6.510
K Ru Se
1 2 1
Cartesian
0.000 0.000 0.000
0.815 0.000 3.658
3.357 0.000 3.593
6.533 0.000 2.180
```

Output
* density of states at the Fermi level: 0.7087 states/eV/atom
* DFT total energy: -5.487 eV/atom
* calculated volume: 23.434 Å³ per atom
* raw formation energy: 0.297 eV/atom



DFT (PBE) results for an optimized crystal structure of Na2MoRh2S6.

Structure (POSCAR):
```
Na2MoRh2S6
1.0
3.081 -5.382 0.000
3.081 5.382 0.000
-2.075 0.000 6.595
Na Mo Rh S
2 1 2 6
Cartesian
3.081 3.599 0.000
3.081 -3.599 0.000
-1.037 0.000 3.298
2.044 1.794 3.298
2.044 -1.794 3.298
0.005 1.845 4.575
1.062 0.000 1.996
0.005 -1.845 4.575
4.083 1.845 2.020
3.026 0.000 4.599
4.083 -1.845 2.020
```

Output
* density of states at the Fermi level: 0.6237 states/eV/atom
* DFT total energy: -5.443 eV/atom
* calculated volume: 19.885 Å³ per atom
* raw formation energy: -0.631 eV/atom



DFT (PBE) results for an optimized crystal structure of Ca8Ga2Hg.

Structure (POSCAR):
```
Ca8Ga2Hg
1.0
9.419 -2.631 0.000
9.419 2.631 0.000
-2.486 0.000 7.033
Ca Ga Hg
8 2 1
Cartesian
-0.122 0.000 2.012
1.789 0.000 5.692
4.869 0.000 3.794
7.458 0.000 0.309
8.893 0.000 6.725
11.483 0.000 3.240
14.563 0.000 1.341
16.473 0.000 5.022
2.924 0.000 1.407
13.427 0.000 5.627
8.176 0.000 3.517
```

Output
* density of states at the Fermi level: 0.4277 states/eV/atom
* DFT total energy: -2.345 eV/atom
* calculated volume: 31.694 Å³ per atom
* energy relative to the elements: -0.3120 eV/atom
* energy above the lowest structure with this stoichiometry: 0.000 eV/atom



DFT (PBE) results for an optimized crystal structure of Na2As4Pd3.

Structure (POSCAR):
```
Na2As4Pd3
1.0
0.000 5.116 6.071
2.891 0.000 6.071
2.891 5.116 0.000
Na As Pd
2 4 3
Cartesian
2.891 5.116 1.598
2.891 5.116 10.543
2.891 3.408 4.183
2.891 3.408 7.958
2.891 6.824 4.183
2.891 6.824 7.958
1.446 2.558 0.000
1.446 2.558 6.071
2.891 5.116 6.071
```

Output
* density of states at the Fermi level: 0.3797 states/eV/atom
* DFT total energy: -4.449 eV/atom
* calculated volume: 19.954 Å³ per atom
* energy relative to the elements: -0.3588 eV/atom
* energy above the lowest structure with this stoichiometry: 0.000 eV/atom



DFT (PBE) results for an optimized crystal structure of Ca3La3Pd4.

Structure (POSCAR):
```
Ca3La3Pd4
1.0
4.163 0.000 0.000
0.000 5.637 5.747
0.000 -5.637 5.747
Ca La Pd
3 3 4
Cartesian
0.000 0.000 0.000
2.081 -2.878 6.725
2.081 2.878 6.725
0.000 -1.835 3.865
0.000 1.835 3.865
0.000 0.000 7.781
2.081 0.000 2.411
2.081 0.000 5.414
2.081 -1.500 9.562
2.081 1.500 9.562
```

Output
* density of states at the Fermi level: 0.6742 states/eV/atom
* DFT total energy: -4.821 eV/atom
* calculated volume: 26.970 Å³ per atom
* energy relative to the elements: -0.6648 eV/atom



DFT (PBE) results for an optimized crystal structure of Ta2MnRuN.

Structure (POSCAR):
```
Ta2MnRuN
1.0
4.247 0.000 0.000
0.000 4.247 0.000
0.000 0.000 3.770
Ta Mn Ru N
2 1 1 1
Cartesian
0.000 2.123 0.000
2.123 0.000 0.000
0.000 0.000 1.885
2.123 2.123 1.885
0.000 0.000 0.000
```

Output
* density of states at the Fermi level: 0.8112 states/eV/atom
* DFT total energy: -10.567 eV/atom
* calculated volume: 13.599 Å³ per atom
* raw formation energy: -0.472 eV/atom



DFT (PBE) results for an optimized crystal structure of PaAu.

Structure (POSCAR):
```
PaAu
1.0
3.203 0.000 0.000
0.000 3.203 0.000
0.000 0.000 4.343
Pa Au
1 1
Cartesian
0.000 0.000 0.000
1.602 1.602 2.172
```

Output
* density of states at the Fermi level: 1.7685 states/eV/atom
* DFT total energy: -6.665 eV/atom
* calculated volume: 22.282 Å³ per atom
* energy relative to the elements: -0.2786 eV/atom



> DFT total energy of number 5 (Na2As4Pd3)?

-4.449 eV/atom



> Which of these has the lowest DFT total energy?

Ta2MnRuN



> DFT total energy of number 7 (Ta2MnRuN)?

-10.567 eV/atom